{
  "formula": "ZrMn2Re",
  "functional": "GGA-PBE",
  "state": "relaxed",
  "lattice_angstrom": [[3.280, 0.000, 0.000], [0.000, 4.314, 0.000], [0.000, 0.000, 4.387]],
  "species": ["Zr", "Mn", "Mn", "Re"],
  "fractional_positions": [[0.000, 0.000, 0.000], [0.000, 0.500, 0.500], [0.500, 0.500, 0.000], [0.500, 0.000, 0.500]],
  "crystal_system": "orthorhombic",
  "magnetic_moment_mub_per_atom": 0.227,
  "formation_energy_ev_per_atom": 0.11
}